(1)
Below is an optimized crystal structure of AcLa2N2, with properties calculated at the GGA-PBE level.

POSCAR file:
```
AcLa2N2
1.0
-1.876 2.685 5.857
1.876 -2.685 5.857
1.876 2.685 -5.857
Ac La N
1 2 2
Cartesian
0.000 0.000 0.000
0.000 0.000 3.712
0.000 0.000 8.002
1.876 0.000 2.079
0.000 2.685 3.778
```

Calculated values
As for the space-group type: Immm, No. 71. The total moment comes out at 0.024 μB per cell. As for the formation energy (no corrections): -482 kJ/mol of formula units.



(2)
Below is an optimized crystal structure of MgAu2O, with properties calculated at the GGA-PBE level.

POSCAR file:
```
MgAu2O
1.0
0.000 3.128 3.128
3.128 0.000 3.128
3.128 3.128 0.000
Mg Au O
1 2 1
Cartesian
0.000 0.000 0.000
1.564 1.564 1.564
4.692 4.692 4.692
3.128 3.128 3.128
```

Calculated values
As for the space-group type: Fm-3m, No. 225. The total moment comes out at 0.000 μB per cell. As for the distance to the lowest polymorph of the same formula: 0.270 eV per atom. As for the formation energy (no corrections): -28 kJ/mol of formula units.



(3)
Below is an optimized crystal structure of Cd2WCl, with properties calculated at the GGA-PBE level.

POSCAR file:
```
Cd2WCl
1.0
1.872 -2.360 0.000
1.872 2.360 0.000
0.000 0.000 8.786
Cd W Cl
2 1 1
Cartesian
0.000 0.000 2.160
0.000 0.000 6.626
1.872 0.000 0.000
1.872 0.000 4.393
```

Calculated values
As for the space-group type: Cmmm, No. 65. The total moment comes out at 0.000 μB per cell. As for the distance to the lowest polymorph of the same formula: 0.184 eV per atom. As for the formation energy (no corrections): 124 kJ/mol of formula units.